## 1
Material: PrAl2Ga
Method: DFT, PBE
State: optimized geometry

Structure (CIF):
```
data_PrAl2Ga
_chemical_formula_sum 'Pr1 Al2 Ga1'
_space_group_name_H-M_alt 'P 4/m m m'
_space_group_IT_number 123
_space_group_name_Hall '-P 4 2'
_cell_length_a 4.364
_cell_length_b 4.364
_cell_length_c 4.463
_cell_angle_alpha 90.00
_cell_angle_beta 90.00
_cell_angle_gamma 90.00
loop_
_atom_site_label
_atom_site_type_symbol
_atom_site_fract_x
_atom_site_fract_y
_atom_site_fract_z
_atom_site_occupancy
Pr1 Pr 0.000 0.000 0.000 1
Al1 Al 0.000 0.500 0.500 1
Ga1 Ga 0.500 0.500 0.000 1
```

Computed properties:
**Size of the total moment**: 0.00 μB per formula unit



## 2
Material: PrAl2Ga
Method: DFT, PBE
State: optimized geometry

Structure (CIF):
```
data_PrAl2Ga
_chemical_formula_sum 'Pr3 Al6 Ga3'
_space_group_name_H-M_alt 'R -3 m'
_space_group_IT_number 166
_space_group_name_Hall '-R 3 2"'
_cell_length_a 4.0295
_cell_length_b 4.0295
_cell_length_c 25.1117
_cell_angle_alpha 90.00
_cell_angle_beta 90.00
_cell_angle_gamma 120.00
loop_
_atom_site_label
_atom_site_type_symbol
_atom_site_fract_x
_atom_site_fract_y
_atom_site_fract_z
_atom_site_occupancy
Pr1 Pr 0.0000 0.0000 0.0000 1
Al1 Al 0.0000 0.0000 0.1251 1
Ga1 Ga 0.0000 0.0000 0.5000 1
```

Computed properties:
**Size of the total moment**: 0.00 μB per formula unit



From most stable to least stable, the computed energies give 1, 2.